No. 1
Density functional theory data (PBE with a Hubbard U) for Mn2OF3 after structural relaxation.

abc: 9.464 4.891 4.891
angles: 92.52 90.00 90.00
Atoms (fractional coordinates):
Mn: 0.000 0.000 0.000
Mn: 0.167 0.528 0.528
Mn: 0.333 0.990 0.990
Mn: 0.500 0.454 0.454
Mn: 0.667 0.990 0.990
Mn: 0.833 0.528 0.528
O: 0.165 0.825 0.825
O: 0.500 0.156 0.156
O: 0.835 0.825 0.825
F: 0.000 0.321 0.713
F: 0.000 0.713 0.321
F: 0.160 0.206 0.206
F: 0.332 0.285 0.693
F: 0.332 0.693 0.285
F: 0.500 0.771 0.771
F: 0.668 0.285 0.693
F: 0.668 0.693 0.285
F: 0.840 0.206 0.206

Summary:
Electronic total energy ... -6.5576 eV/atom
V ... 226 Å³ per cell

---

No. 2
Density functional theory data (PBE with a Hubbard U) for Mn2OF3 after structural relaxation.

abc: 6.198 6.198 4.838
angles: 90.00 90.00 120.00
Atoms (fractional coordinates):
Mn: 0.000 0.000 0.000
Mn: 0.000 0.500 0.500
Mn: 0.500 0.000 0.500
Mn: 0.500 0.500 0.500
O: 0.333 0.667 0.658
O: 0.667 0.333 0.342
F: 0.163 0.326 0.259
F: 0.163 0.837 0.259
F: 0.326 0.163 0.741
F: 0.674 0.837 0.259
F: 0.837 0.163 0.741
F: 0.837 0.674 0.741

Summary:
Electronic total energy ... -6.5392 eV/atom
V ... 161 Å³ per cell

---

No. 3
Density functional theory data (PBE with a Hubbard U) for Mn3O4F2 after structural relaxation.

abc: 4.601 4.601 9.281
angles: 90.34 90.34 89.96
Atoms (fractional coordinates):
Mn: 0.000 0.000 0.000
Mn: 0.030 0.021 0.341
Mn: 0.467 0.524 0.161
Mn: 0.476 0.533 0.839
Mn: 0.503 0.497 0.500
Mn: 0.979 0.970 0.659
O: 0.172 0.810 0.828
O: 0.190 0.828 0.172
O: 0.197 0.803 0.500
O: 0.288 0.327 0.000
O: 0.310 0.327 0.329
O: 0.673 0.690 0.671
O: 0.673 0.712 0.000
O: 0.810 0.190 0.500
F: 0.278 0.298 0.681
F: 0.702 0.722 0.319
F: 0.776 0.208 0.830
F: 0.792 0.224 0.170

Summary:
Electronic total energy ... -6.8305 eV/atom
V ... 196 Å³ per cell

---

V of number 1 (Mn2OF3)?
226 Å³ per cell